Pm3In2Ga4 | PBE-GGA | optimized geometry

V: 218.2 Å³/f.u.
Space group: C2/m

a = 4.441 Å, b = 6.166 Å, c = 8.796 Å
α = 102.88°, β = 90.00°, γ = 111.11°
Positions (direct):
Pm1 0.660 0.320 0.673
Pm2 0.000 0.000 0.000
Pm3 0.340 0.680 0.327
In1 0.628 0.256 0.292
In2 0.372 0.744 0.708
Ga1 0.709 0.419 0.033
Ga2 0.291 0.581 0.967
Ga3 0.965 0.930 0.624
Ga4 0.035 0.070 0.376

PmDy5HoSc2 | PBE-GGA | optimized geometry

V: 279.6 Å³/f.u.
Space group: Cmc2_1

a = 5.591 Å, b = 11.086 Å, c = 9.325 Å
α = 90.00°, β = 90.00°, γ = 104.60°
Positions (direct):
Pm1 0.815 0.631 0.518
Pm2 0.185 0.369 0.018
Dy1 0.392 0.784 0.047
Dy2 0.734 0.469 0.833
Dy3 0.468 0.937 0.748
Dy4 0.307 0.614 0.718
Dy5 0.990 0.981 0.514
Dy6 0.608 0.216 0.547
Dy7 0.266 0.531 0.333
Dy8 0.532 0.063 0.248
Dy9 0.693 0.386 0.218
Dy10 0.010 0.019 0.014
Ho1 0.597 0.194 0.919
Ho2 0.403 0.806 0.419
Sc1 0.887 0.773 0.826
Sc2 0.137 0.273 0.700
Sc3 0.113 0.227 0.326
Sc4 0.863 0.727 0.200

NaPaAs2 | PBE-GGA | optimized geometry

V: 106.2 Å³/f.u.
Space group: R-3m

a = 4.255 Å, b = 4.255 Å, c = 7.206 Å
α = 72.83°, β = 72.83°, γ = 60.00°
Positions (direct):
Na1 0.500 0.500 0.500
As1 0.262 0.262 0.213
As2 0.738 0.738 0.787
Pa1 0.000 0.000 0.000

Result set for E_form: -5.080; 1.513; -3.141 eV per formula unit, one per record in the order listed.